VASP calculation (PBE-GGA) on crystalline ScGeSbF2 at its relaxed geometry.

Cell lengths 4.262, 4.262, 6.194 Å; angles 90.00, 90.00, 90.00 degrees
Positions (direct):
Sc  0.000  0.000  0.000
Ge  0.500  0.500  0.000
Sb  0.000  0.000  0.500
F  0.000  0.500  0.500
F  0.500  0.000  0.500

* raw formation energy: -1.0266 eV/atom
* D(E_F): 3.512 states/eV/cell
* total DFT energy (no corrections): -0.176 Ha/atom



VASP calculation (PBE-GGA) on crystalline GeSb2TeF at its relaxed geometry.

Cell lengths 5.349, 5.349, 5.335 Å; angles 90.00, 90.00, 90.00 degrees
Positions (direct):
Ge  0.000  0.000  0.000
Sb  0.000  0.500  0.000
Sb  0.500  0.000  0.000
Te  0.000  0.000  0.500
F  0.500  0.500  0.500

* ΔE to the lowest computed polymorph: 31.44 kJ/mol of atoms
* raw formation energy: 0.3585 eV/atom
* D(E_F): 4.101 states/eV/cell
* total DFT energy (no corrections): -0.118 Ha/atom



VASP calculation (PBE-GGA) on crystalline GeSb2TeF at its relaxed geometry.

Cell lengths 4.752, 4.752, 5.518 Å; angles 90.00, 90.00, 90.00 degrees
Positions (direct):
Ge  0.000  0.000  0.000
Sb  0.000  0.500  0.500
Sb  0.500  0.000  0.500
Te  0.500  0.500  0.000
F  0.500  0.500  0.500

* ΔE to the lowest computed polymorph: 0.00 kJ/mol of atoms
* raw formation energy: 0.0327 eV/atom
* D(E_F): 2.000 states/eV/cell
* total DFT energy (no corrections): -0.130 Ha/atom



Please write out number 2 again, unchanged.
VASP calculation (PBE-GGA) on crystalline GeSb2TeF at its relaxed geometry.

Cell lengths 5.349, 5.349, 5.335 Å; angles 90.00, 90.00, 90.00 degrees
Positions (direct):
Ge  0.000  0.000  0.000
Sb  0.000  0.500  0.000
Sb  0.500  0.000  0.000
Te  0.000  0.000  0.500
F  0.500  0.500  0.500

* ΔE to the lowest computed polymorph: 31.44 kJ/mol of atoms
* raw formation energy: 0.3585 eV/atom
* D(E_F): 4.101 states/eV/cell
* total DFT energy (no corrections): -0.118 Ha/atom



Q: What is the total DFT energy (no corrections) in the first record?
A: -0.176 Ha/atom



Q: Number 3 is which compound?
A: GeSb2TeF



Q: Which formula does entry 3 have?
A: GeSb2TeF